Below is a relaxed Mn2Cd crystal, with properties calculated at the PBE level.

Structure (CIF):
```
data_Mn2Cd
_cell_length_a 4.587
_cell_length_b 4.587
_cell_length_c 3.083
_cell_angle_alpha 90.00
_cell_angle_beta 90.00
_cell_angle_gamma 90.00
_space_group_name_H-M_alt 'P 1'
_space_group_IT_number 1
loop_
_space_group_symop_operation_xyz
'x,y,z'
loop_
_atom_site_label
_atom_site_type_symbol
_atom_site_fract_x
_atom_site_fract_y
_atom_site_fract_z
Mn1 Mn 0.000 0.500 0.000
Mn2 Mn 0.500 0.000 0.000
Cd1 Cd 0.000 0.000 0.500
```

Results
Final energy = -16.61 eV/cell
SG = P4/mmm, No. 123
Energy of formation = 0.8822 eV/atom
ρ = 5.690 g/cm3
M_tot = 8.3 Bohr magnetons per cell

Below is a relaxed CdFe2SeS crystal, with properties calculated at the PBE level.

Structure (CIF):
```
data_CdFe2SeS
_cell_length_a 5.079
_cell_length_b 5.079
_cell_length_c 4.841
_cell_angle_alpha 90.00
_cell_angle_beta 90.00
_cell_angle_gamma 90.00
_space_group_name_H-M_alt 'P 1'
_space_group_IT_number 1
loop_
_space_group_symop_operation_xyz
'x,y,z'
loop_
_atom_site_label
_atom_site_type_symbol
_atom_site_fract_x
_atom_site_fract_y
_atom_site_fract_z
Cd1 Cd 0.000 0.000 0.000
Fe1 Fe 0.000 0.500 0.000
Fe2 Fe 0.500 0.000 0.000
Se1 Se 0.000 0.000 0.500
S1 S 0.500 0.500 0.500
```

Results
Final energy = -17.92 eV/cell
SG = P4/mmm, No. 123
ρ = 4.456 g/cm3
M_tot = 7.0 Bohr magnetons per cell
ΔE_f (raw) = 1.51 eV per atom

Below is a relaxed KCdTe3 crystal, with properties calculated at the PBE level.

Structure (CIF):
```
data_KCdTe3
_cell_length_a 6.032
_cell_length_b 6.032
_cell_length_c 6.032
_cell_angle_alpha 90.00
_cell_angle_beta 90.00
_cell_angle_gamma 90.00
_space_group_name_H-M_alt 'P 1'
_space_group_IT_number 1
loop_
_space_group_symop_operation_xyz
'x,y,z'
loop_
_atom_site_label
_atom_site_type_symbol
_atom_site_fract_x
_atom_site_fract_y
_atom_site_fract_z
K1 K 0.000 0.000 0.000
Cd1 Cd 0.500 0.500 0.500
Te1 Te 0.000 0.000 0.500
Te2 Te 0.000 0.500 0.000
Te3 Te 0.500 0.000 0.000
```

Results
Excess energy over the best structure of this formula in the dataset = 857 meV/atom
Final energy = -7.66 eV/cell
SG = Pm-3m, No. 221
ρ = 4.042 g/cm3
M_tot = 0.0 Bohr magnetons per cell
ΔE_f (raw) = 0.76 eV per atom

Below is a relaxed HoGa3Cu3 crystal, with properties calculated at the PBE level.

Structure (CIF):
```
data_HoGa3Cu3
_cell_length_a 6.811
_cell_length_b 4.209
_cell_length_c 8.396
_cell_angle_alpha 90.00
_cell_angle_beta 109.73
_cell_angle_gamma 90.00
_space_group_name_H-M_alt 'P 1'
_space_group_IT_number 1
loop_
_space_group_symop_operation_xyz
'x,y,z'
loop_
_atom_site_label
_atom_site_type_symbol
_atom_site_fract_x
_atom_site_fract_y
_atom_site_fract_z
Ho1 Ho 0.107 0.250 0.357
Ho2 Ho 0.893 0.750 0.643
Ga1 Ga 0.028 0.250 0.917
Ga2 Ga 0.319 0.750 0.606
Ga3 Ga 0.390 0.750 0.301
Ga4 Ga 0.610 0.250 0.699
Ga5 Ga 0.681 0.250 0.394
Ga6 Ga 0.972 0.750 0.083
Cu1 Cu 0.268 0.750 0.958
Cu2 Cu 0.287 0.250 0.772
Cu3 Cu 0.411 0.250 0.116
Cu4 Cu 0.589 0.750 0.884
Cu5 Cu 0.713 0.750 0.228
Cu6 Cu 0.732 0.250 0.042
```

Results
Excess energy over the best structure of this formula in the dataset = 0 meV/atom
Final energy = -55.81 eV/cell
SG = P2_1/m, No. 11
Energy of formation = -0.2795 eV/atom
ρ = 8.279 g/cm3
M_tot = 0.0 Bohr magnetons per cell

Below is a relaxed Gd2ErSe crystal, with properties calculated at the PBE level.

Structure (CIF):
```
data_Gd2ErSe
_cell_length_a 3.642
_cell_length_b 3.642
_cell_length_c 8.468
_cell_angle_alpha 90.00
_cell_angle_beta 90.00
_cell_angle_gamma 90.00
_space_group_name_H-M_alt 'P 1'
_space_group_IT_number 1
loop_
_space_group_symop_operation_xyz
'x,y,z'
loop_
_atom_site_label
_atom_site_type_symbol
_atom_site_fract_x
_atom_site_fract_y
_atom_site_fract_z
Gd1 Gd 0.000 0.000 0.207
Gd2 Gd 0.000 0.000 0.793
Er1 Er 0.500 0.500 0.500
Se1 Se 0.500 0.500 0.000
```

Results
Excess energy over the best structure of this formula in the dataset = 0 meV/atom
Final energy = -39.06 eV/cell
SG = P4/mmm, No. 123
ρ = 8.288 g/cm3
M_tot = 15.1 Bohr magnetons per cell
ΔE_f (raw) = -0.71 eV per atom

Below is a relaxed ReOs2Se crystal, with properties calculated at the PBE level.

Structure (CIF):
```
data_ReOs2Se
_cell_length_a 3.981
_cell_length_b 5.453
_cell_length_c 5.453
_cell_angle_alpha 30.37
_cell_angle_beta 90.00
_cell_angle_gamma 90.00
_space_group_name_H-M_alt 'P 1'
_space_group_IT_number 1
loop_
_space_group_symop_operation_xyz
'x,y,z'
loop_
_atom_site_label
_atom_site_type_symbol
_atom_site_fract_x
_atom_site_fract_y
_atom_site_fract_z
Re1 Re 0.000 0.000 0.000
Os1 Os 0.000 0.743 0.743
Os2 Os 0.500 0.378 0.378
Se1 Se 0.500 0.148 0.148
```

Results
Final energy = -36.21 eV/cell
SG = Amm2, No. 38
ρ = 17.917 g/cm3
M_tot = 0.0 Bohr magnetons per cell
ΔE_f (raw) = 0.55 eV per atom

Below is a relaxed Ag3P5 crystal, with properties calculated at the PBE level.

Structure (CIF):
```
data_Ag3P5
_cell_length_a 8.146
_cell_length_b 8.146
_cell_length_c 5.376
_cell_angle_alpha 90.00
_cell_angle_beta 90.00
_cell_angle_gamma 120.00
_space_group_name_H-M_alt 'P 1'
_space_group_IT_number 1
loop_
_space_group_symop_operation_xyz
'x,y,z'
loop_
_atom_site_label
_atom_site_type_symbol
_atom_site_fract_x
_atom_site_fract_y
_atom_site_fract_z
Ag1 Ag 0.000 0.477 0.250
Ag2 Ag 0.000 0.523 0.750
Ag3 Ag 0.477 0.000 0.250
Ag4 Ag 0.477 0.477 0.750
Ag5 Ag 0.523 0.000 0.750
Ag6 Ag 0.523 0.523 0.250
P1 P 0.000 0.155 0.250
P2 P 0.000 0.845 0.750
P3 P 0.155 0.000 0.250
P4 P 0.155 0.155 0.750
P5 P 0.333 0.667 0.000
P6 P 0.333 0.667 0.500
P7 P 0.667 0.333 0.000
P8 P 0.667 0.333 0.500
P9 P 0.845 0.000 0.750
P10 P 0.845 0.845 0.250
```

Results
Excess energy over the best structure of this formula in the dataset = 173 meV/atom
Final energy = -65.18 eV/cell
SG = P6_3/mcm, No. 193
Energy of formation = 0.3769 eV/atom
ρ = 5.144 g/cm3
M_tot = 0.0 Bohr magnetons per cell

Below is a relaxed LaPaCS2 crystal, with properties calculated at the PBE level.

Structure (CIF):
```
data_LaPaCS2
_cell_length_a 3.965
_cell_length_b 3.965
_cell_length_c 14.484
_cell_angle_alpha 90.00
_cell_angle_beta 90.00
_cell_angle_gamma 90.00
_space_group_name_H-M_alt 'P 1'
_space_group_IT_number 1
loop_
_space_group_symop_operation_xyz
'x,y,z'
loop_
_atom_site_label
_atom_site_type_symbol
_atom_site_fract_x
_atom_site_fract_y
_atom_site_fract_z
La1 La 0.250 0.250 0.127
La2 La 0.750 0.750 0.873
Pa1 Pa 0.250 0.250 0.583
Pa2 Pa 0.750 0.750 0.417
C1 C 0.250 0.750 0.500
C2 C 0.750 0.250 0.500
S1 S 0.250 0.250 0.315
S2 S 0.250 0.250 0.911
S3 S 0.750 0.750 0.089
S4 S 0.750 0.750 0.685
```

Results
Final energy = -77.69 eV/cell
SG = P4/nmm, No. 129
ρ = 6.507 g/cm3
M_tot = 0.0 Bohr magnetons per cell
ΔE_f (raw) = -1.39 eV per atom

Below is a relaxed TlAgSe2 crystal, with properties calculated at the PBE level.

Structure (CIF):
```
data_TlAgSe2
_cell_length_a 7.119
_cell_length_b 4.059
_cell_length_c 14.099
_cell_angle_alpha 90.00
_cell_angle_beta 90.00
_cell_angle_gamma 90.00
_space_group_name_H-M_alt 'P 1'
_space_group_IT_number 1
loop_
_space_group_symop_operation_xyz
'x,y,z'
loop_
_atom_site_label
_atom_site_type_symbol
_atom_site_fract_x
_atom_site_fract_y
_atom_site_fract_z
Tl1 Tl 0.093 0.250 0.125
Tl2 Tl 0.407 0.750 0.625
Tl3 Tl 0.593 0.250 0.375
Tl4 Tl 0.907 0.750 0.875
Ag1 Ag 0.082 0.750 0.387
Ag2 Ag 0.418 0.250 0.887
Ag3 Ag 0.582 0.750 0.113
Ag4 Ag 0.918 0.250 0.613
Se1 Se 0.122 0.250 0.774
Se2 Se 0.223 0.250 0.502
Se3 Se 0.277 0.750 0.002
Se4 Se 0.378 0.750 0.274
Se5 Se 0.622 0.250 0.726
Se6 Se 0.723 0.250 0.998
Se7 Se 0.777 0.750 0.498
Se8 Se 0.878 0.750 0.226
```

Results
Final energy = -50.07 eV/cell
SG = Pnma, No. 62
ρ = 7.665 g/cm3
M_tot = 0.0 Bohr magnetons per cell
ΔE_f (raw) = -0.08 eV per atom

Below is a relaxed Sm4ThTl3 crystal, with properties calculated at the PBE level.

Structure (CIF):
```
data_Sm4ThTl3
_cell_length_a 3.686
_cell_length_b 5.595
_cell_length_c 11.477
_cell_angle_alpha 90.00
_cell_angle_beta 90.00
_cell_angle_gamma 90.00
_space_group_name_H-M_alt 'P 1'
_space_group_IT_number 1
loop_
_space_group_symop_operation_xyz
'x,y,z'
loop_
_atom_site_label
_atom_site_type_symbol
_atom_site_fract_x
_atom_site_fract_y
_atom_site_fract_z
Sm1 Sm 0.000 0.000 0.000
Sm2 Sm 0.000 0.000 0.500
Sm3 Sm 0.000 0.500 0.242
Sm4 Sm 0.000 0.500 0.758
Th1 Th 0.500 0.500 0.500
Tl1 Tl 0.500 0.000 0.257
Tl2 Tl 0.500 0.000 0.743
Tl3 Tl 0.500 0.500 0.000
```

Results
Final energy = -35.23 eV/cell
SG = Pmmm, No. 47
Energy of formation = -0.2299 eV/atom
ρ = 10.147 g/cm3
M_tot = 0.0 Bohr magnetons per cell

Below is a relaxed Mg3TlC4O12 crystal, with properties calculated at the PBE level.

Structure (CIF):
```
data_Mg3TlC4O12
_cell_length_a 6.209
_cell_length_b 6.209
_cell_length_c 6.209
_cell_angle_alpha 102.96
_cell_angle_beta 102.96
_cell_angle_gamma 102.96
_space_group_name_H-M_alt 'P 1'
_space_group_IT_number 1
loop_
_space_group_symop_operation_xyz
'x,y,z'
loop_
_atom_site_label
_atom_site_type_symbol
_atom_site_fract_x
_atom_site_fract_y
_atom_site_fract_z
Mg1 Mg 0.000 0.546 0.454
Mg2 Mg 0.454 0.000 0.546
Mg3 Mg 0.546 0.454 0.000
Tl1 Tl 0.000 0.000 0.000
C1 C 0.045 0.500 0.955
C2 C 0.500 0.500 0.500
C3 C 0.500 0.955 0.045
C4 C 0.955 0.045 0.500
O1 O 0.024 0.609 0.800
O2 O 0.089 0.911 0.500
O3 O 0.200 0.391 0.976
O4 O 0.366 0.634 0.500
O5 O 0.391 0.976 0.200
O6 O 0.500 0.089 0.911
O7 O 0.500 0.366 0.634
O8 O 0.609 0.800 0.024
O9 O 0.634 0.500 0.366
O10 O 0.800 0.024 0.609
O11 O 0.911 0.500 0.089
O12 O 0.976 0.200 0.391
```

Results
Final energy = -138.98 eV/cell
SG = R32, No. 155
ρ = 3.948 g/cm3
M_tot = 0.0 Bohr magnetons per cell
ΔE_f (raw) = -1.77 eV per atom